DFT (PBEsol) results for Mg3NiB after structural relaxation.

Calculated values
ΔE_f: 237.7 kJ/mol of formula units
Final energy: -3.172 eV per atom
Spin magnetization: 0.298 μB/f.u.

Structure (POSCAR):
```
Mg3NiB
1.0
-0.616 0.664 -4.309
4.170 -1.179 -0.778
-1.272 -4.189 -0.464
Mg Ni B
3 1 1
direct
0.000 0.500 0.000 Mg
0.000 0.000 0.500 Mg
0.500 0.000 0.000 Mg
0.500 0.500 0.500 Ni
0.000 0.000 0.000 B
```